A relaxed TeMoPd2Au crystal, computed with PBE.

Cell and atoms, written as CIF:
```
data_TeMoPd2Au
_chemical_formula_sum 'Te1 Mo1 Pd2 Au1'
_symmetry_space_group_name_H-M 'P 1'
_symmetry_Int_Tables_number 1
_symmetry_space_group_name_Hall 'P 1'
_cell_length_a 4.8702
_cell_length_b 5.0843
_cell_length_c 4.8702
_cell_angle_alpha 90.00
_cell_angle_beta 90.00
_cell_angle_gamma 90.00
loop_
_atom_site_label
_atom_site_type_symbol
_atom_site_fract_x
_atom_site_fract_y
_atom_site_fract_z
Mo1 Mo 0.0000 0.0000 0.0000
Pd1 Pd 0.5000 0.0000 0.0000
Te1 Te 0.0000 0.5000 0.0000
Pd2 Pd 0.0000 0.0000 0.5000
Au1 Au 0.5000 0.5000 0.5000
```

Values from the calculation:
Its space-group type is No. 123. The calculation puts the formation energy without anion corrections at 21.81 kcal/mol of atoms. The calculation puts the mass density at 8.721 Mg/m³. The volume is 24.12 Å³/atom.

=====

A relaxed HgOsRh crystal, computed with PBE.

Cell and atoms, written as CIF:
```
data_HgOsRh
_chemical_formula_sum 'Hg1 Os1 Rh1'
_symmetry_space_group_name_H-M 'P 1'
_symmetry_Int_Tables_number 1
_symmetry_space_group_name_Hall 'P 1'
_cell_length_a 7.7383
_cell_length_b 7.4752
_cell_length_c 2.8067
_cell_angle_alpha 84.70
_cell_angle_beta 74.13
_cell_angle_gamma 21.17
loop_
_atom_site_label
_atom_site_type_symbol
_atom_site_fract_x
_atom_site_fract_y
_atom_site_fract_z
Hg1 Hg 0.0020 0.0020 0.9980
Rh1 Rh 0.6737 0.6737 0.3263
Os1 Os 0.3243 0.3243 0.6757
```

Values from the calculation:
The distance to the lowest polymorph of the same formula comes out at 302 meV/atom. For the formation energy from the elements, the calculation gives 0.606 eV/atom. Its space-group type is No. 42. The calculation puts the mass density at 16.452 Mg/m³. The volume is 16.61 Å³/atom.

=====

A relaxed AcMgZn2H8 crystal, computed with PBE.

Cell and atoms, written as CIF:
```
data_AcMgZn2H8
_chemical_formula_sum 'Ac1 Mg1 Zn2 H8'
_symmetry_space_group_name_H-M 'P 1'
_symmetry_Int_Tables_number 1
_symmetry_space_group_name_Hall 'P 1'
_cell_length_a 4.7038
_cell_length_b 4.7038
_cell_length_c 7.1890
_cell_angle_alpha 90.00
_cell_angle_beta 90.00
_cell_angle_gamma 120.00
loop_
_atom_site_label
_atom_site_type_symbol
_atom_site_fract_x
_atom_site_fract_y
_atom_site_fract_z
Zn1 Zn 0.3333 0.6667 0.7309
Zn2 Zn 0.6667 0.3333 0.2691
H1 H 0.7016 0.0097 0.3135
H2 H 0.0097 0.3081 0.6865
H3 H 0.9903 0.6919 0.3135
Ac1 Ac 0.0000 0.0000 0.0000
H4 H 0.6919 0.7016 0.6865
H5 H 0.2984 0.9903 0.6865
H6 H 0.3333 0.6667 0.9705
Mg1 Mg 0.0000 0.0000 0.5000
H7 H 0.6667 0.3333 0.0295
H8 H 0.3081 0.2984 0.3135
```

Values from the calculation:
Its space-group type is No. 147. The calculation puts the mass density at 4.704 Mg/m³. The volume is 11.48 Å³/atom.

=====

A relaxed Al4CoSb crystal, computed with PBE.

Cell and atoms, written as CIF:
```
data_Al4CoSb
_chemical_formula_sum 'Al4 Co1 Sb1'
_symmetry_space_group_name_H-M 'P 1'
_symmetry_Int_Tables_number 1
_symmetry_space_group_name_Hall 'P 1'
_cell_length_a 5.3016
_cell_length_b 5.3016
_cell_length_c 5.3016
_cell_angle_alpha 60.00
_cell_angle_beta 60.00
_cell_angle_gamma 60.00
loop_
_atom_site_label
_atom_site_type_symbol
_atom_site_fract_x
_atom_site_fract_y
_atom_site_fract_z
Al1 Al 0.8721 0.3760 0.3760
Sb1 Sb 0.0000 0.0000 0.0000
Al2 Al 0.3760 0.8721 0.3760
Al3 Al 0.3760 0.3760 0.8721
Co1 Co 0.7500 0.7500 0.7500
Al4 Al 0.3760 0.3760 0.3760
```

Values from the calculation:
Its space-group type is No. 216. The calculation puts the formation energy without anion corrections at 7.83 kcal/mol of atoms. The calculation puts the mass density at 4.549 Mg/m³. The volume is 17.56 Å³/atom.

=====

A relaxed Sm4Tm2Sc3 crystal, computed with PBE.

Cell and atoms, written as CIF:
```
data_Sm4Tm2Sc3
_chemical_formula_sum 'Sm4 Tm2 Sc3'
_symmetry_space_group_name_H-M 'P 1'
_symmetry_Int_Tables_number 1
_symmetry_space_group_name_Hall 'P 1'
_cell_length_a 4.9585
_cell_length_b 5.9782
_cell_length_c 10.3818
_cell_angle_alpha 73.80
_cell_angle_beta 89.99
_cell_angle_gamma 65.51
loop_
_atom_site_label
_atom_site_type_symbol
_atom_site_fract_x
_atom_site_fract_y
_atom_site_fract_z
Sm1 Sm 0.6658 0.6683 0.8875
Sm2 Sm 0.9952 0.0098 0.6646
Sm3 Sm 0.0048 0.9902 0.3354
Sm4 Sm 0.3342 0.3317 0.1125
Tm1 Tm 0.6703 0.6594 0.2277
Sc1 Sc 0.0000 0.0000 0.0000
Sc2 Sc 0.6642 0.6717 0.5518
Sc3 Sc 0.3358 0.3283 0.4482
Tm2 Tm 0.3297 0.3406 0.7723
```

Values from the calculation:
For the formation energy from the elements, the calculation gives 0.048 eV/atom. Its space-group type is No. 12. The calculation puts the mass density at 6.691 Mg/m³. The volume is 29.62 Å³/atom.

=====

A relaxed AgSnB crystal, computed with PBE.

Cell and atoms, written as CIF:
```
data_AgSnB
_chemical_formula_sum 'Ag2 Sn2 B2'
_symmetry_space_group_name_H-M 'P 1'
_symmetry_Int_Tables_number 1
_symmetry_space_group_name_Hall 'P 1'
_cell_length_a 3.1410
_cell_length_b 6.6917
_cell_length_c 6.2981
_cell_angle_alpha 111.57
_cell_angle_beta 79.29
_cell_angle_gamma 73.87
loop_
_atom_site_label
_atom_site_type_symbol
_atom_site_fract_x
_atom_site_fract_y
_atom_site_fract_z
Ag1 Ag 0.7924 0.8745 0.5961
B1 B 0.3658 0.0369 0.3585
Sn1 Sn 0.3076 0.3708 0.2661
Sn2 Sn 0.2476 0.7141 0.8870
B2 B 0.9037 0.0073 0.2994
Ag2 Ag 0.9867 0.3031 0.8238
```

Values from the calculation:
For the formation energy from the elements, the calculation gives 0.301 eV/atom. Its space-group type is No. 1. The calculation puts the mass density at 7.042 Mg/m³. The volume is 18.66 Å³/atom.

=====

A relaxed La2CdGaFe crystal, computed with PBE.

Cell and atoms, written as CIF:
```
data_La2CdGaFe
_chemical_formula_sum 'La2 Cd1 Ga1 Fe1'
_symmetry_space_group_name_H-M 'P 1'
_symmetry_Int_Tables_number 1
_symmetry_space_group_name_Hall 'P 1'
_cell_length_a 5.2227
_cell_length_b 5.2227
_cell_length_c 4.7562
_cell_angle_alpha 90.00
_cell_angle_beta 90.00
_cell_angle_gamma 90.00
loop_
_atom_site_label
_atom_site_type_symbol
_atom_site_fract_x
_atom_site_fract_y
_atom_site_fract_z
Cd1 Cd 0.5000 0.5000 0.5000
La1 La 0.5000 0.0000 0.0000
Fe1 Fe 0.0000 0.0000 0.0000
La2 La 0.0000 0.5000 0.0000
Ga1 Ga 0.0000 0.0000 0.5000
```

Values from the calculation:
For the formation energy from the elements, the calculation gives -0.243 eV/atom. Its space-group type is No. 123. The calculation puts the mass density at 6.602 Mg/m³. The volume is 25.95 Å³/atom.

=====

A relaxed Ba2Ag4GeSb3 crystal, computed with PBE.

Cell and atoms, written as CIF:
```
data_Ba2Ag4GeSb3
_chemical_formula_sum 'Ba2 Ag4 Ge1 Sb3'
_symmetry_space_group_name_H-M 'P 1'
_symmetry_Int_Tables_number 1
_symmetry_space_group_name_Hall 'P 1'
_cell_length_a 4.7791
_cell_length_b 4.7791
_cell_length_c 11.7458
_cell_angle_alpha 90.00
_cell_angle_beta 90.00
_cell_angle_gamma 90.00
loop_
_atom_site_label
_atom_site_type_symbol
_atom_site_fract_x
_atom_site_fract_y
_atom_site_fract_z
Ba1 Ba 0.5000 0.0000 0.2456
Sb1 Sb 0.0000 0.5000 0.1346
Ag1 Ag 0.0000 0.5000 0.3719
Sb2 Sb 0.0000 0.0000 0.5000
Ag2 Ag 0.0000 0.0000 0.0000
Ba2 Ba 0.0000 0.5000 0.7544
Ge1 Ge 0.5000 0.5000 0.5000
Ag3 Ag 0.5000 0.5000 0.0000
Ag4 Ag 0.5000 0.0000 0.6281
Sb3 Sb 0.5000 0.0000 0.8654
```

Values from the calculation:
Its space-group type is No. 115. The calculation puts the formation energy without anion corrections at -10.53 kcal/mol of atoms. The calculation puts the mass density at 7.081 Mg/m³. The volume is 26.83 Å³/atom.

=====

A relaxed Mg2ScIn2 crystal, computed with PBE.

Cell and atoms, written as CIF:
```
data_Mg2ScIn2
_chemical_formula_sum 'Mg4 Sc2 In4'
_symmetry_space_group_name_H-M 'P 1'
_symmetry_Int_Tables_number 1
_symmetry_space_group_name_Hall 'P 1'
_cell_length_a 4.8577
_cell_length_b 4.8577
_cell_length_c 12.4673
_cell_angle_alpha 90.00
_cell_angle_beta 90.00
_cell_angle_gamma 120.00
loop_
_atom_site_label
_atom_site_type_symbol
_atom_site_fract_x
_atom_site_fract_y
_atom_site_fract_z
In1 In 0.3333 0.6667 0.8759
Sc1 Sc 0.0000 0.0000 0.7500
Mg1 Mg 0.0000 0.0000 0.0000
In2 In 0.6667 0.3333 0.1241
In3 In 0.3333 0.6667 0.6241
Mg2 Mg 0.0000 0.0000 0.5000
Mg3 Mg 0.3333 0.6667 0.2500
In4 In 0.6667 0.3333 0.3759
Mg4 Mg 0.6667 0.3333 0.7500
Sc2 Sc 0.0000 0.0000 0.2500
```

Values from the calculation:
The distance to the lowest polymorph of the same formula comes out at 145 meV/atom. For the formation energy from the elements, the calculation gives 0.058 eV/atom. Its space-group type is No. 194. The calculation puts the mass density at 4.213 Mg/m³. The volume is 25.48 Å³/atom.

=====

A relaxed Co2AsOs2 crystal, computed with PBE.

Cell and atoms, written as CIF:
```
data_Co2AsOs2
_chemical_formula_sum 'Co2 As1 Os2'
_symmetry_space_group_name_H-M 'P 1'
_symmetry_Int_Tables_number 1
_symmetry_space_group_name_Hall 'P 1'
_cell_length_a 3.5283
_cell_length_b 3.5283
_cell_length_c 6.4793
_cell_angle_alpha 74.20
_cell_angle_beta 74.20
_cell_angle_gamma 90.00
loop_
_atom_site_label
_atom_site_type_symbol
_atom_site_fract_x
_atom_site_fract_y
_atom_site_fract_z
As1 As 0.0000 0.0000 0.0000
Os1 Os 0.7500 0.2500 0.5000
Co1 Co 0.4017 0.4017 0.1966
Os2 Os 0.2500 0.7500 0.5000
Co2 Co 0.5983 0.5983 0.8034
```

Values from the calculation:
The distance to the lowest polymorph of the same formula comes out at 147 meV/atom. For the formation energy from the elements, the calculation gives 0.660 eV/atom. Its space-group type is No. 139. The calculation puts the mass density at 12.788 Mg/m³. The volume is 14.89 Å³/atom.

=====

A relaxed KTcPd2C crystal, computed with PBE.

Cell and atoms, written as CIF:
```
data_KTcPd2C
_chemical_formula_sum 'K1 Tc1 Pd2 C1'
_symmetry_space_group_name_H-M 'P 1'
_symmetry_Int_Tables_number 1
_symmetry_space_group_name_Hall 'P 1'
_cell_length_a 5.0814
_cell_length_b 3.9394
_cell_length_c 5.0814
_cell_angle_alpha 90.00
_cell_angle_beta 90.00
_cell_angle_gamma 90.00
loop_
_atom_site_label
_atom_site_type_symbol
_atom_site_fract_x
_atom_site_fract_y
_atom_site_fract_z
C1 C 0.0000 0.5000 0.0000
K1 K 0.5000 0.5000 0.5000
Pd1 Pd 0.0000 0.0000 0.5000
Pd2 Pd 0.5000 0.0000 0.0000
Tc1 Tc 0.0000 0.0000 0.0000
```

Values from the calculation:
For the formation energy from the elements, the calculation gives 0.988 eV/atom. Its space-group type is No. 123. The calculation puts the mass density at 5.909 Mg/m³. The volume is 20.34 Å³/atom.

=====

Here are the calculated uncorrected energy numbers, same order: -4.58, -5.69, -3.04, -4.03, -5.15, -4.21, -4.70, -3.68, -2.94, -7.60, -5.23 (eV/atom).